[1]
The following is a DFT calculation (PBE) of crystalline AcTmGe2 at its relaxed geometry.

V in Å³ per cell: 111
DOS at the Fermi energy in states/eV/atom: 0.75
Total DFT energy (no corrections) in eV/cell: -20.33
Density in g/cm³: 8.1

Lattice parameters (Å, degrees): 4.826 4.826 6.306 109.46 109.46 54.83
Fractional positions:
Ac: 0.000 0.000 0.000
Tm: 0.500 0.500 0.500
Ge: 0.235 0.235 0.685
Ge: 0.765 0.765 0.315

***

[2]
The following is a DFT calculation (PBE) of crystalline CrFe2Co2 at its relaxed geometry.

V in Å³ per cell: 116
DOS at the Fermi energy in states/eV/atom: 1.26
Total DFT energy (no corrections) in eV/cell: -78.74
Density in g/cm³: 8.1

Lattice parameters (Å, degrees): 6.725 6.725 2.566 90.00 90.00 90.00
Fractional positions:
Cr: 0.000 0.000 0.000
Cr: 0.500 0.500 0.000
Fe: 0.125 0.375 0.000
Fe: 0.375 0.875 0.000
Fe: 0.625 0.125 0.000
Fe: 0.875 0.625 0.000
Co: 0.173 0.673 0.500
Co: 0.327 0.173 0.500
Co: 0.673 0.827 0.500
Co: 0.827 0.327 0.500

***

[3]
The following is a DFT calculation (PBE) of crystalline YPuZnOs at its relaxed geometry.

V in Å³ per cell: 84
DOS at the Fermi energy in states/eV/atom: 2.27
Total DFT energy (no corrections) in eV/cell: -33.71
Density in g/cm³: 11.7

Lattice parameters (Å, degrees): 4.908 4.908 4.908 60.00 60.00 60.00
Fractional positions:
Y: 0.000 0.000 0.000
Pu: 0.500 0.500 0.500
Zn: 0.750 0.750 0.750
Os: 0.250 0.250 0.250

***

[4]
The following is a DFT calculation (PBE) of crystalline MgAgPbAu2 at its relaxed geometry.

V in Å³ per cell: 153
DOS at the Fermi energy in states/eV/atom: 0.63
Total DFT energy (no corrections) in eV/cell: -11.48
Density in g/cm³: 8.0

Lattice parameters (Å, degrees): 5.354 5.354 5.332 90.00 90.00 90.00
Fractional positions:
Mg: 0.000 0.000 0.000
Ag: 0.500 0.500 0.000
Pb: 0.000 0.000 0.500
Au: 0.000 0.500 0.500
Au: 0.500 0.000 0.500

***

[5]
The following is a DFT calculation (PBE) of crystalline Lu4Bi2H at its relaxed geometry.

V in Å³ per cell: 167
DOS at the Fermi energy in states/eV/atom: 0.86
Total DFT energy (no corrections) in eV/cell: -32.45
Density in g/cm³: 11.1

Lattice parameters (Å, degrees): 8.847 8.847 8.847 150.56 150.56 42.11
Fractional positions:
Lu: 0.000 0.500 0.500
Lu: 0.171 0.171 0.000
Lu: 0.500 0.000 0.500
Lu: 0.829 0.829 0.000
Bi: 0.359 0.359 0.000
Bi: 0.641 0.641 0.000
H: 0.000 0.000 0.000

***

[6]
The following is a DFT calculation (PBE) of crystalline CoRe2Ni at its relaxed geometry.

V in Å³ per cell: 52
DOS at the Fermi energy in states/eV/atom: 1.26
Total DFT energy (no corrections) in eV/cell: -37.17
Density in g/cm³: 15.5

Lattice parameters (Å, degrees): 8.603 8.603 8.603 17.88 17.88 17.88
Fractional positions:
Co: 0.000 0.000 0.000
Re: 0.251 0.251 0.251
Re: 0.749 0.749 0.749
Ni: 0.500 0.500 0.500

***

[7]
The following is a DFT calculation (PBE) of crystalline Mg2FeBr at its relaxed geometry.

V in Å³ per cell: 78
Formation energy from raw total energies in eV/atom: 0.132
DOS at the Fermi energy in states/eV/atom: 0.96
Total DFT energy (no corrections) in eV/cell: -12.80
Density in g/cm³: 3.9

Lattice parameters (Å, degrees): 5.060 5.060 3.156 90.00 90.00 104.60
Fractional positions:
Mg: 0.000 0.500 0.000
Mg: 0.500 0.000 0.000
Fe: 0.000 0.000 0.500
Br: 0.500 0.500 0.500

***

[8]
The following is a DFT calculation (PBE) of crystalline Th2Si3Ni at its relaxed geometry.

V in Å³ per cell: 119
Formation energy from raw total energies in eV/atom: -0.798
DOS at the Fermi energy in states/eV/atom: 0.51
Total DFT energy (no corrections) in eV/cell: -41.68
Density in g/cm³: 8.5

Lattice parameters (Å, degrees): 4.110 4.110 8.152 90.00 90.00 120.00
Fractional positions:
Th: 0.000 0.000 0.244
Th: 0.000 0.000 0.756
Si: 0.333 0.667 0.500
Si: 0.667 0.333 0.000
Si: 0.667 0.333 0.500
Ni: 0.333 0.667 0.000

***

[9]
The following is a DFT calculation (PBE) of crystalline SrMg2PtSe at its relaxed geometry.

V in Å³ per cell: 201
Formation energy from raw total energies in eV/atom: 1.011
DOS at the Fermi energy in states/eV/atom: 1.61
Total DFT energy (no corrections) in eV/cell: -9.34
Density in g/cm³: 3.4

Lattice parameters (Å, degrees): 6.238 6.238 5.161 90.00 90.00 90.00
Fractional positions:
Sr: 0.000 0.000 0.000
Mg: 0.000 0.500 0.000
Mg: 0.500 0.000 0.000
Pt: 0.000 0.000 0.500
Se: 0.500 0.500 0.500

***

[10]
The following is a DFT calculation (PBE) of crystalline Pm3DySc3Te8 at its relaxed geometry.

V in Å³ per cell: 451
Formation energy from raw total energies in eV/atom: -1.320
DOS at the Fermi energy in states/eV/atom: 0.53
Total DFT energy (no corrections) in eV/cell: -82.78
Density in g/cm³: 6.5

Lattice parameters (Å, degrees): 8.640 8.640 8.640 59.51 59.51 59.51
Fractional positions:
Pm: 0.000 0.500 0.500
Pm: 0.500 0.000 0.500
Pm: 0.500 0.500 0.000
Dy: 0.500 0.500 0.500
Sc: 0.000 0.000 0.500
Sc: 0.000 0.500 0.000
Sc: 0.500 0.000 0.000
Te: 0.229 0.756 0.756
Te: 0.242 0.242 0.242
Te: 0.244 0.244 0.771
Te: 0.244 0.771 0.244
Te: 0.756 0.229 0.756
Te: 0.756 0.756 0.229
Te: 0.758 0.758 0.758
Te: 0.771 0.244 0.244

***

[11]
The following is a DFT calculation (PBE) of crystalline SrAlSb2 at its relaxed geometry.

V in Å³ per cell: 112
Formation energy from raw total energies in eV/atom: -0.247
DOS at the Fermi energy in states/eV/atom: 0.36
Total DFT energy (no corrections) in eV/cell: -14.66
Density in g/cm³: 5.3

Lattice parameters (Å, degrees): 5.596 5.596 3.715 90.00 90.00 104.82
Fractional positions:
Sr: 0.000 0.000 0.000
Al: 0.500 0.500 0.000
Sb: 0.000 0.500 0.500
Sb: 0.500 0.000 0.500

***

[12]
The following is a DFT calculation (PBE) of crystalline SiTc2S at its relaxed geometry.

V in Å³ per cell: 53
Formation energy from raw total energies in eV/atom: -0.102
DOS at the Fermi energy in states/eV/atom: 0.66
Total DFT energy (no corrections) in eV/cell: -30.69
Density in g/cm³: 8.0

Lattice parameters (Å, degrees): 4.216 4.216 4.216 60.00 60.00 60.00
Fractional positions:
Si: 0.000 0.000 0.000
Tc: 0.250 0.250 0.250
Tc: 0.750 0.750 0.750
S: 0.500 0.500 0.500